Compound: Pr4SnIr
Source: the Alexandria database
Functional: PBE-GGA
Structure: relaxed

```
Pr4SnIr
1.0
-3.0901 1.6707 -5.3561
1.5629 -6.2323 -2.8457
-4.2193 -4.7665 8.1218
Pr Ir Sn
8 2 2
direct
0.1127 0.9966 0.7164
0.2716 0.7500 0.1181
0.8873 0.0034 0.2836
0.7284 0.2500 0.8819
0.1127 0.5034 0.7164
0.5218 0.2500 0.4132
0.4782 0.7500 0.5868
0.8873 0.4966 0.2836
0.2580 0.2500 0.5607
0.7420 0.7500 0.4393
0.3477 0.2500 0.0476
0.6523 0.7500 0.9524
```

## Properties
* space group: P2_1/m
* DOS(E_F): 10.98 states/eV/cell
* ΔE to the lowest computed polymorph: 0.0 kJ/mol of atoms
* formation enthalpy at 0 K: -0.528 eV per atom

Compound: KAgAsSe2
Source: the Alexandria database
Functional: PBE-GGA
Structure: relaxed

```
KAgAsSe2
1.0
5.7650 0.0000 0.0000
0.0000 5.7650 0.0000
0.0000 0.0000 5.7552
Se K Ag As
2 1 1 1
direct
0.5000 0.0000 0.0000
0.0000 0.5000 0.0000
0.0000 0.0000 0.0000
0.5000 0.5000 0.5000
0.0000 0.0000 0.5000
```

## Properties
* space group: P4/mmm
* uncorrected formation energy: 114 kJ per mole of atoms
* DOS(E_F): 6.16 states/eV/cell
* ΔE to the lowest computed polymorph: 138.0 kJ/mol of atoms

Compound: TiBeNi4
Source: the Alexandria database
Functional: PBE-GGA
Structure: relaxed

```
TiBeNi4
1.0
2.5221 0.0000 0.0000
1.2610 4.0106 0.0230
1.2610 0.5477 6.8509
Ni Be Ti
4 1 1
direct
0.1599 0.0071 0.6730
0.6419 0.5765 0.1396
0.3581 0.4235 0.8604
0.8401 0.9929 0.3270
0.0000 0.0000 0.0000
0.5000 0.5000 0.5000
```

## Properties
* space group: C2/m
* DOS(E_F): 4.84 states/eV/cell
* formation enthalpy at 0 K: -0.118 eV per atom

Compound: Fe3RuN
Source: the Alexandria database
Functional: PBE-GGA
Structure: relaxed

```
Fe3RuN
1.0
4.5830 0.0000 0.0000
0.0000 4.5830 0.0000
0.0000 0.0000 4.5830
N Ru Fe
1 1 3
direct
0.5000 0.5000 0.5000
0.0000 0.0000 0.0000
0.0000 0.5000 0.0000
0.0000 0.0000 0.5000
0.5000 0.0000 0.0000
```

## Properties
* space group: Pm-3m
* uncorrected formation energy: 229 kJ per mole of atoms
* DOS(E_F): 5.90 states/eV/cell
* ΔE to the lowest computed polymorph: 221.0 kJ/mol of atoms